# CsDySc

Crystalline CsDySc at its relaxed geometry (PBE, the Open Quantum Materials Database).

Output
crystal system: cubic
total moment: 3.26 μB/cell
final energy: -2.662 eV/atom
SG: F-43m
energy above the lowest structure with this stoichiometry: 0 meV per atom

abc: 5.852 5.852 5.852
angles: 60.00 60.00 60.00
Element x y z (fractional)
Dy1 0.750 0.750 0.750
Sc1 0.000 0.000 0.000
Cs1 0.250 0.250 0.250